The following is a DFT calculation (meta-GGA SCAN) of a PBEsol-optimized structure of MnZn2Ir.

abc: 3.746 3.746 3.817
angles: 90.00 90.00 90.00
Atoms (fractional coordinates):
Zn: 0.000 0.500 0.000
Ir: 0.500 0.500 0.500
Zn: 0.500 0.000 0.000
Mn: 0.000 0.000 0.500

## Properties
The total energy is -29.433 eV per atom. The calculation puts the calculated volume at 53.56 Å³ per cell. As for the density of states at the Fermi level: 0.463 states/eV per atom. The calculation puts the magnetization at 4.098 μB/cell. As for the energy of formation: -337 meV per atom.

***

The following is a DFT calculation (meta-GGA SCAN) of a PBEsol-optimized structure of YCo2As.

abc: 3.740 3.919 4.787
angles: 90.00 90.00 90.00
Atoms (fractional coordinates):
As: 0.500 0.500 0.500
Y: 0.500 0.000 0.000
Co: 0.000 0.500 0.232
Co: 0.000 0.500 0.768

## Properties
The total energy is -20.936 eV per atom. The calculation puts the calculated volume at 70.16 Å³ per cell. As for the density of states at the Fermi level: 0.578 states/eV per atom. The calculation puts the magnetization at 1.958 μB/cell. As for the energy of formation: -276 meV per atom.